[1]
## HgAu3Br (PBE-GGA)

Data for a relaxed HgAu3Br crystal.

Cell: 5.2767 5.2767 5.2767 Å, 90.00 90.00 90.00°
Closest atoms and distances in Å follow each position.
Fractional coordinates of all 5 atoms:
1 Au 0.0000 0.5000 0.0000  2 Hg 2.64
2 Au 0.0000 0.0000 0.5000  2 Hg 2.64
3 Au 0.5000 0.0000 0.0000  2 Hg 2.64
4 Hg 0.0000 0.0000 0.0000  6 Au 2.64
5 Br 0.5000 0.5000 0.5000  12 Au 3.73

Computed properties:
- Calculated volume: 146.92 Å³ per cell
- E_form (uncorrected): 0.724 eV/atom
- N(E_F): 4.33 states/eV per cell
- Raw total energy: -1.637 eV per atom
- Symmetry: No. 221
- Offset from the most stable computed form: 0.000 eV/f.u.

[2]
## Pm2Nd3Hg3 (PBE-GGA)

Data for a relaxed Pm2Nd3Hg3 crystal.

Cell: 3.8348 5.5009 11.7978 Å, 103.48 99.35 90.00°
Closest atoms and distances in Å follow each position.
Fractional coordinates of all 8 atoms:
1 Pm 0.7330 0.2330 0.4661  2 Hg 3.21, 4 Pm 3.44
2 Pm 0.2670 0.7670 0.5339  2 Hg 3.21, 4 Pm 3.44
3 Nd 0.6206 0.6206 0.2413  6 Hg 3.34-3.35
4 Nd 0.3794 0.3794 0.7587  6 Hg 3.34-3.35
5 Nd 0.5000 0.0000 0.0000  8 Hg 3.31-3.35
6 Hg 0.1192 0.1192 0.2383  2 Pm 3.21, 6 Nd 3.31-3.35
7 Hg 0.0000 0.5000 0.0000  8 Nd 3.34-3.35
8 Hg 0.8808 0.8808 0.7617  2 Pm 3.21, 6 Nd 3.31-3.35

Computed properties:
- Calculated volume: 238.61 Å³ per cell
- N(E_F): 10.08 states/eV per cell
- Raw total energy: -3.441 eV per atom
- Symmetry: No. 71

[3]
## HfZr6Co3 (PBE-GGA)

Data for a relaxed HfZr6Co3 crystal.

Cell: 6.0985 7.9277 7.9277 Å, 91.66 90.00 90.00°
Closest atoms and distances in Å follow each position.
Fractional coordinates of all 20 atoms:
1 Hf 0.1086 0.3130 0.6870  4 Co 2.60-2.84
2 Hf 0.6086 0.6870 0.3130  4 Co 2.60-2.84
3 Zr 0.0960 0.7237 0.7279  4 Co 2.74-2.94, 2 Zr 3.05
4 Zr 0.5960 0.7279 0.7237  4 Co 2.74-2.94, 2 Zr 3.05
5 Zr 0.3556 0.5316 0.0056  1 Co 2.39
6 Zr 0.8556 0.0056 0.5316  1 Co 2.39
7 Zr 0.3529 0.9299 0.0701  2 Co 2.50
8 Zr 0.5949 0.3110 0.6890  4 Co 2.62-2.91
9 Zr 0.0949 0.6890 0.3110  4 Co 2.62-2.91
10 Zr 0.8529 0.0701 0.9299  2 Co 2.50
11 Zr 0.3556 0.9944 0.4684  1 Co 2.39
12 Zr 0.8556 0.4684 0.9944  1 Co 2.39
13 Zr 0.0960 0.2721 0.2763  4 Co 2.74-2.94, 2 Zr 3.05
14 Zr 0.5960 0.2763 0.2721  4 Co 2.74-2.94, 2 Zr 3.05
15 Co 0.3369 0.0144 0.7689  2 Zr 2.39-2.50, 1 Co 2.39
16 Co 0.8369 0.7689 0.0144  2 Zr 2.39-2.50, 1 Co 2.39
17 Co 0.3518 0.5040 0.4960  2 Hf 2.60-2.63, 4 Zr 2.62-2.91
18 Co 0.8518 0.4960 0.5040  2 Hf 2.60-2.63, 4 Zr 2.62-2.91
19 Co 0.8369 0.9856 0.2311  2 Zr 2.39-2.50, 1 Co 2.39
20 Co 0.3369 0.2311 0.9856  2 Zr 2.39-2.50, 1 Co 2.39

Computed properties:
- Calculated volume: 383.12 Å³ per cell
- N(E_F): 23.44 states/eV per cell
- Raw total energy: -8.370 eV per atom
- Symmetry: No. 36